1.
{
  "formula": "NiGeAu2",
  "functional": "PBE",
  "state": "optimized geometry",
  "total_energy_ev_per_atom": -4.072,
  "cell": [[0.0000, 3.1896, 3.1896], [3.1896, 0.0000, 3.1896], [3.1896, 3.1896, 0.0000]],
  "species": ["Ni", "Ge", "Au", "Au"],
  "frac_coords": [[0.0000, 0.0000, 0.0000], [0.7500, 0.7500, 0.7500], [0.2500, 0.2500, 0.2500], [0.5000, 0.5000, 0.5000]]
}


2.
{
  "formula": "ThTaAs",
  "functional": "PBE",
  "state": "optimized geometry",
  "total_energy_ev_per_atom": -7.642,
  "cell": [[0.0000, 3.2952, 3.2952], [3.2952, 0.0000, 3.2952], [3.2952, 3.2952, 0.0000]],
  "species": ["Th", "Ta", "As"],
  "frac_coords": [[0.0000, 0.0000, 0.0000], [0.2500, 0.2500, 0.2500], [0.5000, 0.5000, 0.5000]]
}


3.
{
  "formula": "SmSbW",
  "functional": "PBE",
  "state": "optimized geometry",
  "total_energy_ev_per_atom": -6.055,
  "cell": [[0.0000, 3.5293, 3.5293], [3.5293, 0.0000, 3.5293], [3.5293, 3.5293, 0.0000]],
  "species": ["Sm", "Sb", "W"],
  "frac_coords": [[0.0000, 0.0000, 0.0000], [0.7500, 0.7500, 0.7500], [0.2500, 0.2500, 0.2500]]
}


4.
{
  "formula": "Gd2Pa2O5",
  "functional": "PBE",
  "state": "optimized geometry",
  "de_polymorph_ev_per_atom": 0.000,
  "cell": [[4.2274, 0.0000, 0.0000], [0.0000, 4.2274, 0.0000], [0.0000, 0.0000, 9.1225]],
  "species": ["Gd", "Gd", "Pa", "Pa", "O", "O", "O", "O", "O"],
  "frac_coords": [[0.0000, 0.0000, 0.0000], [0.0000, 0.0000, 0.5000], [0.5000, 0.5000, 0.2457], [0.5000, 0.5000, 0.7543], [0.0000, 0.5000, 0.1711], [0.0000, 0.5000, 0.8289], [0.5000, 0.0000, 0.1711], [0.5000, 0.0000, 0.8289], [0.5000, 0.5000, 0.0000]]
}


5.
{
  "formula": "Lu4Sc2P3C3",
  "functional": "PBE",
  "state": "optimized geometry",
  "total_energy_ev_per_atom": -7.018,
  "cell": [[5.1162, -3.0839, 0.0000], [5.1162, 3.0839, 0.0000], [-3.4660, 0.0000, 13.1600]],
  "species": ["Lu", "Lu", "Lu", "Lu", "Lu", "Lu", "Lu", "Lu", "Sc", "Sc", "Sc", "Sc", "P", "P", "P", "P", "P", "P", "C", "C", "C", "C", "C", "C"],
  "frac_coords": [[0.0405, 0.1972, 0.1020], [0.1345, 0.2993, 0.3992], [0.1972, 0.0405, 0.6020], [0.2993, 0.1345, 0.8992], [0.7007, 0.8655, 0.1008], [0.8028, 0.9595, 0.3980], [0.8655, 0.7007, 0.6008], [0.9595, 0.8028, 0.8980], [0.3528, 0.5415, 0.0891], [0.4585, 0.6472, 0.4109], [0.5415, 0.3528, 0.5891], [0.6472, 0.4585, 0.9109], [0.1005, 0.8995, 0.2500], [0.2869, 0.4827, 0.7499], [0.4827, 0.2869, 0.2499], [0.5173, 0.7131, 0.7501], [0.7131, 0.5173, 0.2501], [0.8995, 0.1005, 0.7500], [0.0000, 0.5000, 0.0000], [0.1677, 0.6668, 0.4979], [0.3332, 0.8323, 0.0021], [0.5000, 0.0000, 0.5000], [0.6668, 0.1677, 0.9979], [0.8323, 0.3332, 0.5021]]
}


6.
{
  "formula": "NdUW",
  "functional": "PBE",
  "state": "optimized geometry",
  "formation_enthalpy_0k_ev_per_atom": 1.438,
  "de_polymorph_ev_per_atom": 0.000,
  "cell": [[0.0000, 3.3450, 3.3450], [3.3450, 0.0000, 3.3450], [3.3450, 3.3450, 0.0000]],
  "species": ["Nd", "U", "W"],
  "frac_coords": [[0.0000, 0.0000, 0.0000], [0.2500, 0.2500, 0.2500], [0.5000, 0.5000, 0.5000]]
}